(1)
5
Lattice="-0.193 -3.962 1.708 2.953 -0.835 -1.605 2.248 1.367 3.425" Properties=species:S:1:pos:R:3 comment="Nb2NiCO, optimized geometry, DFT GGA+U" mass_density_g_cm3=7.01 m_tot_mub_per_atom=0.00 energy_ev_per_cell=-35.33 crystal_system=tetragonal pbc="T T T"
Ni 1.477 -0.418 -0.802
Nb 1.124 0.683 1.712
Nb -0.096 -1.981 0.854
C 0.000 0.000 0.000
O 2.504 -1.715 1.764

(2)
10
Lattice="8.234 0.000 0.000 0.000 8.234 0.000 0.000 0.000 2.669" Properties=species:S:1:pos:R:3 comment="Ag2Mo2F, optimized geometry, DFT GGA+U" mass_density_g_cm3=7.83 m_tot_mub_per_atom=0.04 energy_ev_per_cell=-30.11 crystal_system=tetragonal pbc="T T T"
Mo 1.457 5.574 1.335
Mo 5.574 6.777 1.335
Mo 6.777 2.660 1.335
Mo 2.660 1.457 1.335
Ag 3.136 7.253 0.000
Ag 7.253 5.097 0.000
Ag 5.097 0.981 0.000
Ag 0.981 3.136 0.000
F 0.000 0.000 0.000
F 4.117 4.117 0.000